{"formula": "Mn4Nb5V", "functional": "PBE", "state": "optimized geometry", "lattice": [[3.0814, 0.0000, 0.0000], [0.0000, 3.0814, 0.0000], [0.0000, 0.0000, 15.5510]], "species": ["Mn", "Mn", "Mn", "Mn", "Nb", "Nb", "Nb", "Nb", "Nb", "V"], "frac_coords": [[0.0000, 0.0000, 0.0986], [0.0000, 0.0000, 0.2955], [0.0000, 0.0000, 0.7045], [0.0000, 0.0000, 0.9014], [0.5000, 0.5000, 0.0000], [0.5000, 0.5000, 0.1973], [0.5000, 0.5000, 0.3948], [0.5000, 0.5000, 0.6052], [0.5000, 0.5000, 0.8027], [0.0000, 0.0000, 0.5000]], "sg": "No. 123", "final_energy_ev_per_cell": -97.065}